Density functional theory data (GGA-PBE) for a relaxed PuGaSbO6 crystal.

Properties
Total magnetic moment ... 1.98 μB/f.u.

```
PuGaSbO6
1.0
5.338 0.000 0.000
-2.669 4.623 0.000
0.000 0.000 9.759
Pu Ga Sb O
2 2 2 12
Cartesian
0.000 3.082 2.440
2.669 1.541 7.319
0.000 3.082 7.319
2.669 1.541 2.440
0.000 0.000 0.000
0.000 0.000 4.879
-0.903 1.641 6.203
-1.700 3.021 8.435
0.903 1.641 8.435
-0.797 4.585 6.203
1.872 0.038 1.324
0.969 1.602 3.556
1.700 3.021 6.203
0.797 4.585 8.435
3.466 0.038 3.556
1.766 2.983 1.324
4.369 1.602 1.324
3.572 2.983 3.556
```



Density functional theory data (GGA-PBE) for a relaxed PuScGaO6 crystal.

Properties
Total magnetic moment ... 2.00 μB/f.u.

```
PuScGaO6
1.0
5.235 0.000 0.000
-2.618 4.534 0.000
0.000 0.000 9.327
Pu Sc Ga O
2 2 2 12
Cartesian
0.000 3.023 2.332
2.618 1.511 6.995
0.000 0.000 0.000
0.000 0.000 4.663
0.000 3.023 6.995
2.618 1.511 2.332
-0.855 1.556 5.894
-1.697 3.015 8.096
0.855 1.556 8.096
-0.842 4.496 5.894
1.775 0.038 1.231
0.920 1.519 3.433
1.697 3.015 5.894
0.842 4.496 8.096
3.460 0.038 3.433
1.763 2.978 1.231
4.315 1.519 1.231
3.473 2.978 3.433
```



Density functional theory data (GGA-PBE) for a relaxed PuGaSnO6 crystal.

Properties
Total magnetic moment ... 3.00 μB/f.u.

```
PuGaSnO6
1.0
5.287 0.000 0.000
-2.644 4.579 0.000
0.000 0.000 9.172
Pu Ga Sn O
2 2 2 12
Cartesian
0.000 3.053 2.293
2.644 1.526 6.879
0.000 3.053 6.879
2.644 1.526 2.293
0.000 0.000 0.000
0.000 0.000 4.586
-0.815 1.567 5.767
-1.695 3.090 7.992
0.815 1.567 7.992
-0.879 4.502 5.767
1.764 0.077 1.181
0.949 1.489 3.406
1.695 3.090 5.767
0.879 4.502 7.992
3.523 0.077 3.406
1.828 3.012 1.181
4.338 1.489 1.181
3.459 3.012 3.406
```



Density functional theory data (GGA-PBE) for a relaxed SrPu2GaO8 crystal.

Properties
Total magnetic moment ... 5.00 μB/f.u.

```
SrPu2GaO8
1.0
3.397 -3.633 0.000
3.397 3.633 0.000
0.000 0.000 6.919
Sr Pu Ga O
1 2 1 8
Cartesian
0.000 0.000 0.000
3.397 0.000 1.802
3.397 0.000 5.118
0.000 0.000 3.460
1.376 0.000 2.017
1.376 0.000 4.902
3.397 1.399 3.460
3.397 1.219 0.000
3.397 -1.219 0.000
3.397 -1.399 3.460
5.418 0.000 2.017
5.418 0.000 4.902
```



Density functional theory data (GGA-PBE) for a relaxed SrPuGa2O8 crystal.

Properties
Total magnetic moment ... 0.01 μB/f.u.

```
SrPuGa2O8
1.0
-3.566 3.566 3.303
3.566 -3.566 3.303
3.566 3.566 -3.303
Sr Pu Ga O
1 1 2 8
Cartesian
0.000 0.000 0.000
3.566 0.000 1.652
0.000 0.000 3.303
0.000 3.566 1.652
2.080 3.566 -1.151
1.486 0.000 2.152
0.000 2.372 0.244
3.566 2.080 1.151
0.000 4.761 0.244
0.000 1.486 4.455
-1.194 3.566 3.060
1.194 3.566 3.060
```



Density functional theory data (GGA-PBE) for a relaxed SrPuGaO5 crystal.

Properties
Total magnetic moment ... 3.00 μB/f.u.

```
SrPuGaO5
1.0
3.584 -4.830 0.000
3.584 4.830 0.000
-3.190 0.000 7.175
Sr Pu Ga O
2 2 2 10
Cartesian
1.191 3.215 5.381
2.786 -3.215 1.794
3.584 0.000 0.000
1.988 0.000 3.587
2.786 3.046 1.794
1.191 -3.046 5.381
-1.552 0.550 6.523
1.601 2.010 2.801
0.043 -0.550 2.935
3.971 2.010 0.787
1.191 0.731 5.381
2.786 -0.731 1.794
0.006 -2.010 6.388
3.934 0.550 4.240
2.376 -2.010 4.374
5.529 -0.550 0.652
```



For each record above, in turn, the calculated calculated density values are 7329 6821 7903 7519 5919 6436 kg/m3.
For each record above, in turn, the calculated raw formation energy values are -1.85 -2.49 -1.97 -2.47 -1.79 -2.59 eV per atom.
For each record above, in turn, the calculated density of states at the Fermi level values are 0.815 0.782 0.941 0.585 0.112 0.896 states/eV/atom.